Entry 1:
Ba2PaIrO8 | Alexandria via LeMat-Bulk | GGA-PBE | relaxed; volume = 224 Å³ per cell; M_tot = 1.5 μB per cell; space-group type = No. 2; calculated total energy = -7.39 eV/atom; DOS(E_F) = 0.506 states/eV/atom
1.0
5.661 0.000 0.000
2.276 6.220 0.000
1.604 1.186 6.356
Ba Pa Ir O
2 1 1 8
direct
0.120 0.148 0.183
0.880 0.852 0.817
0.500 0.500 0.500
0.500 0.500 0.000
0.269 0.805 0.482
0.280 0.447 0.839
0.295 0.439 0.275
0.312 0.799 0.972
0.688 0.201 0.028
0.705 0.561 0.725
0.720 0.553 0.161
0.731 0.195 0.518

Entry 2:
BaPa2IrO8 | Alexandria via LeMat-Bulk | GGA-PBE | relaxed; volume = 188 Å³ per cell; M_tot = 0.8 μB per cell; space-group type = No. 10; calculated total energy = -8.39 eV/atom; DOS(E_F) = 0.583 states/eV/atom
1.0
5.123 0.000 0.000
0.000 7.165 0.000
-0.203 0.000 5.126
Ba Pa Ir O
1 2 1 8
direct
0.000 0.000 0.000
0.500 0.259 0.500
0.500 0.741 0.500
0.000 0.500 0.000
0.207 0.307 0.209
0.207 0.693 0.209
0.287 0.500 0.714
0.339 0.000 0.666
0.661 0.000 0.334
0.713 0.500 0.286
0.793 0.307 0.791
0.793 0.693 0.791

Entry 3:
Ba3PaIr2O9 | Alexandria via LeMat-Bulk | GGA-PBE | relaxed; volume = 222 Å³ per cell; M_tot = 1.1 μB per cell; space-group type = No. 164; calculated total energy = -7.38 eV/atom; DOS(E_F) = 0.737 states/eV/atom
1.0
5.902 0.000 0.000
-2.951 5.111 0.000
0.000 0.000 7.356
Ba Pa Ir O
3 1 2 9
direct
0.000 0.000 0.000
0.333 0.667 0.700
0.667 0.333 0.300
0.000 0.000 0.500
0.333 0.667 0.164
0.667 0.333 0.836
0.000 0.500 0.000
0.172 0.344 0.327
0.172 0.828 0.327
0.344 0.172 0.673
0.500 0.000 0.000
0.500 0.500 0.000
0.656 0.828 0.327
0.828 0.172 0.673
0.828 0.656 0.673

Entry 4:
Ba2PaIr3O12 | Alexandria via LeMat-Bulk | GGA-PBE | relaxed; volume = 271 Å³ per cell; M_tot = 0.0 μB per cell; space-group type = No. 166; calculated total energy = -7.26 eV/atom; DOS(E_F) = 0.895 states/eV/atom
1.0
3.612 2.086 5.986
-3.612 2.086 5.986
0.000 -4.171 5.986
Ba Pa Ir O
2 1 3 12
direct
0.112 0.112 0.112
0.888 0.888 0.888
0.500 0.500 0.500
0.000 0.500 0.500
0.500 0.000 0.500
0.500 0.500 0.000
0.134 0.599 0.599
0.185 0.185 0.606
0.185 0.606 0.185
0.394 0.815 0.815
0.401 0.401 0.866
0.401 0.866 0.401
0.599 0.134 0.599
0.599 0.599 0.134
0.606 0.185 0.185
0.815 0.394 0.815
0.815 0.815 0.394
0.866 0.401 0.401

Entry 5:
BaIrPbO6 | Alexandria via LeMat-Bulk | GGA-PBE | relaxed; volume = 155 Å³ per cell; M_tot = 1.0 μB per cell; space-group type = No. 149; calculated total energy = -6.17 eV/atom; DOS(E_F) = 0.649 states/eV/atom
1.0
5.639 0.000 0.000
-2.819 4.883 0.000
0.000 0.000 5.645
Ba Ir Pb O
1 1 1 6
direct
0.000 0.000 0.000
0.667 0.333 0.500
0.333 0.667 0.500
0.394 0.043 0.696
0.394 0.351 0.304
0.649 0.043 0.304
0.649 0.606 0.696
0.957 0.351 0.696
0.957 0.606 0.304

Entry 6:
Ba2Ir3PbO12 | Alexandria via LeMat-Bulk | GGA-PBE | relaxed; volume = 263 Å³ per cell; M_tot = 2.1 μB per cell; space-group type = No. 166; calculated total energy = -6.40 eV/atom; DOS(E_F) = 0.650 states/eV/atom
1.0
3.660 2.113 5.667
-3.660 2.113 5.667
0.000 -4.226 5.667
Ba Ir Pb O
2 3 1 12
direct
0.109 0.109 0.109
0.891 0.891 0.891
0.000 0.500 0.500
0.500 0.000 0.500
0.500 0.500 0.000
0.500 0.500 0.500
0.074 0.628 0.628
0.206 0.206 0.626
0.206 0.626 0.206
0.372 0.372 0.926
0.372 0.926 0.372
0.374 0.794 0.794
0.626 0.206 0.206
0.628 0.074 0.628
0.628 0.628 0.074
0.794 0.374 0.794
0.794 0.794 0.374
0.926 0.372 0.372

Question: Number 1 is which compound?
Answer: Ba2PaIrO8

Question: What is the calculated total energy in the first record?
Answer: -7.39 eV/atom

Question: volume of number 3 (Ba3PaIr2O9)?
Answer: 222 Å³ per cell

Repeat the second record exactly.
BaPa2IrO8 | Alexandria via LeMat-Bulk | GGA-PBE | relaxed; volume = 188 Å³ per cell; M_tot = 0.8 μB per cell; space-group type = No. 10; calculated total energy = -8.39 eV/atom; DOS(E_F) = 0.583 states/eV/atom
1.0
5.123 0.000 0.000
0.000 7.165 0.000
-0.203 0.000 5.126
Ba Pa Ir O
1 2 1 8
direct
0.000 0.000 0.000
0.500 0.259 0.500
0.500 0.741 0.500
0.000 0.500 0.000
0.207 0.307 0.209
0.207 0.693 0.209
0.287 0.500 0.714
0.339 0.000 0.666
0.661 0.000 0.334
0.713 0.500 0.286
0.793 0.307 0.791
0.793 0.693 0.791